Record 1
TmThZnAu | PBE | optimized geometry

Values from the calculation:
- space group = No. 216
- formation energy from the elements (eV/atom) = -0.439
- calculated volume (Å³/f.u.) = 96.33
- Fermi-level density of states (states/eV per cell) = 4.5

a b c (Å): 5.1455 5.1455 5.1455
angles (deg): 60.00 60.00 60.00
Sites, in units of the cell vectors:
Zn 0.0000 0.0000 0.0000
Tm 0.7500 0.7500 0.7500
Au 0.5000 0.5000 0.5000
Th 0.2500 0.2500 0.2500


Record 2
InGeCl3 | PBE | optimized geometry

Values from the calculation:
- space group = No. 14
- formation energy (no corrections) (eV/atom) = -0.818
- calculated volume (Å³/f.u.) = 155.81
- Fermi-level density of states (states/eV per cell) = 0.0

a b c (Å): 27.4045 6.6174 9.9048
angles (deg): 90.00 159.70 90.00
Sites, in units of the cell vectors:
Ge 0.3662 0.7716 0.2221
Ge 0.6338 0.2284 0.7779
Ge 0.1338 0.2716 0.2779
Ge 0.8662 0.7284 0.7221
Cl 0.1651 0.9287 0.6038
Cl 0.8349 0.0713 0.3962
Cl 0.3349 0.4287 0.8962
Cl 0.6651 0.5713 0.1038
Cl 0.2349 0.6381 0.0748
Cl 0.7651 0.3619 0.9252
Cl 0.2651 0.1381 0.4252
Cl 0.7349 0.8619 0.5748
Cl 0.4318 0.0785 0.5091
Cl 0.5682 0.9215 0.4909
Cl 0.0682 0.5785 0.9909
Cl 0.9318 0.4215 0.0091
In 0.1264 0.1997 0.7668
In 0.8736 0.8003 0.2332
In 0.3736 0.6997 0.7332
In 0.6264 0.3003 0.2668


Record 3
Ca2Tl17 | PBE | optimized geometry

Values from the calculation:
- space group = No. 166
- formation energy from the elements (eV/atom) = 0.001
- calculated volume (Å³/f.u.) = 619.28
- Fermi-level density of states (states/eV per cell) = 11.6

a b c (Å): 8.6510 8.6510 8.6510
angles (deg): 79.66 79.66 79.66
Sites, in units of the cell vectors:
Ca 0.7066 0.7066 0.7066
Ca 0.2934 0.2934 0.2934
Tl 0.3678 0.3678 0.8429
Tl 0.3678 0.8429 0.3678
Tl 0.0923 0.0923 0.0923
Tl 0.9077 0.9077 0.9077
Tl 0.0000 0.0000 0.5000
Tl 0.5000 0.0000 0.0000
Tl 0.0000 0.5000 0.0000
Tl 0.3035 0.6965 0.0000
Tl 0.0000 0.3035 0.6965
Tl 0.6965 0.0000 0.3035
Tl 0.6965 0.3035 0.0000
Tl 0.0000 0.6965 0.3035
Tl 0.3035 0.0000 0.6965
Tl 0.6322 0.1571 0.6322
Tl 0.6322 0.6322 0.1571
Tl 0.1571 0.6322 0.6322
Tl 0.8429 0.3678 0.3678


Record 4
Ac3La4Nd2 | PBE | optimized geometry

Values from the calculation:
- space group = No. 15
- formation energy from the elements (eV/atom) = 0.082
- calculated volume (Å³/f.u.) = 350.75
- Fermi-level density of states (states/eV per cell) = 31.2

a b c (Å): 6.4439 10.8073 10.8073
angles (deg): 70.26 83.47 83.47
Sites, in units of the cell vectors:
Ac 0.0892 0.9414 0.7263
Ac 0.4108 0.2737 0.0586
Ac 0.9108 0.0586 0.2737
Ac 0.5892 0.7263 0.9414
Ac 0.2500 0.3946 0.6054
Ac 0.7500 0.6054 0.3946
La 0.5223 0.0892 0.8139
La 0.9777 0.1861 0.9108
La 0.4777 0.9108 0.1861
La 0.0223 0.8139 0.0892
La 0.1873 0.7585 0.4829
La 0.3127 0.5171 0.2415
La 0.8127 0.2415 0.5171
La 0.6873 0.4829 0.7585
Nd 0.6445 0.8505 0.5831
Nd 0.8555 0.4169 0.1495
Nd 0.3555 0.1495 0.4169
Nd 0.1445 0.5831 0.8505


Record 5
Sr2Zn4Ga | PBE | optimized geometry

Values from the calculation:
- space group = No. 11
- formation energy from the elements (eV/atom) = -0.258
- calculated volume (Å³/f.u.) = 161.67
- Fermi-level density of states (states/eV per cell) = 5.9

a b c (Å): 6.1502 6.1869 8.8247
angles (deg): 90.00 105.65 90.00
Sites, in units of the cell vectors:
Sr 0.2530 0.2500 0.0202
Sr 0.7470 0.7500 0.9798
Sr 0.1207 0.7500 0.4036
Sr 0.8793 0.2500 0.5964
Zn 0.5786 0.5348 0.3095
Zn 0.7063 0.2500 0.9133
Zn 0.2937 0.7500 0.0867
Zn 0.5786 0.9652 0.3095
Zn 0.6933 0.7500 0.5952
Zn 0.4214 0.0348 0.6905
Zn 0.4214 0.4652 0.6905
Zn 0.3067 0.2500 0.4048
Ga 0.8562 0.2500 0.2189
Ga 0.1438 0.7500 0.7811


Record 6
RbTmC2O6 | PBE | optimized geometry

Values from the calculation:
- space group = No. 15
- formation energy (no corrections) (eV/atom) = -2.151
- calculated volume (Å³/f.u.) = 136.39
- Fermi-level density of states (states/eV per cell) = 0.0

a b c (Å): 6.3950 6.3950 7.1649
angles (deg): 104.23 104.23 93.79
Sites, in units of the cell vectors:
Rb 0.1067 0.8933 0.2500
Rb 0.8933 0.1067 0.7500
Tm 0.5930 0.4070 0.2500
Tm 0.4070 0.5930 0.7500
C 0.4034 0.1488 0.7601
C 0.8512 0.5966 0.7399
C 0.5966 0.8512 0.2399
C 0.1488 0.4034 0.2601
O 0.9461 0.4002 0.2479
O 0.5998 0.0539 0.2521
O 0.0539 0.5998 0.7521
O 0.4002 0.9461 0.7479
O 0.2215 0.2750 0.1270
O 0.7250 0.7785 0.3730
O 0.7785 0.7250 0.8730
O 0.2750 0.2215 0.6270
O 0.2996 0.5409 0.4067
O 0.4591 0.7004 0.0933
O 0.7004 0.4591 0.5933
O 0.5409 0.2996 0.9067


Record 7
Sr3NdS4 | PBE | optimized geometry

Values from the calculation:
- space group = No. 65
- formation energy (no corrections) (eV/atom) = -2.085
- calculated volume (Å³/f.u.) = 212.03
- Fermi-level density of states (states/eV per cell) = 2.9

a b c (Å): 4.2024 7.3122 7.3122
angles (deg): 109.33 90.00 90.00
Sites, in units of the cell vectors:
Sr 0.0000 0.0000 0.5000
Sr 0.5000 0.5000 0.5000
Sr 0.0000 0.5000 0.0000
Nd 0.5000 0.0000 0.0000
S 0.0000 0.2413 0.2413
S 0.5000 0.7555 0.2445
S 0.0000 0.7587 0.7587
S 0.5000 0.2445 0.7555


Record 8
LaZn2W | PBE | optimized geometry

Values from the calculation:
- space group = No. 99
- formation energy from the elements (eV/atom) = 0.318
- calculated volume (Å³/f.u.) = 75.12
- Fermi-level density of states (states/eV per cell) = 2.5

a b c (Å): 2.9311 2.9311 8.7443
angles (deg): 90.00 90.00 90.00
Sites, in units of the cell vectors:
La 0.0000 0.0000 0.4952
W 0.5000 0.5000 0.7954
Zn 0.0000 0.0000 0.0067
Zn 0.5000 0.5000 0.2027